(1)
Here is an optimized crystal structure of Sc2InGa from the Alexandria database. Energies are from PBE.

The structure in POSCAR format:
```
Sc2InGa
1.0
4.4674 0.0000 0.0000
0.0000 4.4674 0.0000
0.0000 0.0000 4.1535
Sc In Ga
2 1 1
Direct
0.0000 0.5000 0.0000
0.5000 0.0000 0.0000
0.0000 0.0000 0.5000
0.5000 0.5000 0.5000
```

## Properties
Formation energy from the elements   -0.4776 eV per atom
N(E_F)   2.72 states/eV/f.u.
Density   5.498 Mg/m³
E_tot   -20.339 eV per cell

---

(2)
Here is an optimized crystal structure of AlAgPb from the Alexandria database. Energies are from PBE.

The structure in POSCAR format:
```
AlAgPb
1.0
3.3019 0.0000 0.0000
0.0125 5.8579 0.0000
1.6357 0.0073 6.8484
Al Ag Pb
2 2 2
Direct
0.0000 0.0000 0.0000
0.0000 0.5000 0.0000
0.3855 0.2503 0.2332
0.6145 0.7497 0.7668
0.3093 0.7504 0.3678
0.6907 0.2496 0.6322
```

## Properties
Formation energy from the elements   0.0919 eV per atom
N(E_F)   1.20 states/eV/f.u.
Density   8.576 Mg/m³
E_tot   -20.053 eV per cell

---

(3)
Here is an optimized crystal structure of CaCrAsN2 from the Alexandria database. Energies are from PBE.

The structure in POSCAR format:
```
CaCrAsN2
1.0
4.2392 0.0000 0.0000
0.0000 4.2392 0.0000
0.0000 0.0000 5.7386
Ca Cr As N
1 1 1 2
Direct
0.0000 0.0000 0.0000
0.5000 0.5000 0.5000
0.0000 0.0000 0.5000
0.0000 0.5000 0.0000
0.5000 0.0000 0.0000
```

## Properties
N(E_F)   8.77 states/eV/f.u.
Formation energy without anion corrections   2.126 eV per atom
Density   3.140 Mg/m³
E_tot   -22.295 eV per cell

---

(4)
Here is an optimized crystal structure of VNi7Pt4 from the Alexandria database. Energies are from PBE.

The structure in POSCAR format:
```
VNi7Pt4
1.0
4.4443 -2.1790 0.0000
4.4443 2.1790 0.0000
-3.3622 0.0000 8.2977
V Ni Pt
1 7 4
Direct
0.0000 0.0000 0.0000
0.1308 0.1308 0.4762
0.2738 0.2738 0.0854
0.3531 0.3531 0.3841
0.5000 0.5000 0.0000
0.6469 0.6469 0.6159
0.7262 0.7262 0.9146
0.8692 0.8692 0.5238
0.1221 0.1221 0.7724
0.4031 0.4031 0.7014
0.5969 0.5969 0.2986
0.8779 0.8779 0.2276
```

## Properties
Formation energy from the elements   0.1124 eV per atom
N(E_F)   16.16 states/eV/f.u.
Density   12.834 Mg/m³
E_tot   -72.403 eV per cell